SrNp2CoO8 GGA+U optimized geometry; DFT total energy = -8.545 eV/atom; size of the total moment = 0.417 μB/atom; crystal system = monoclinic
1.0
5.001 0.000 0.000
0.000 6.987 0.000
-0.355 0.000 5.010
Sr Np Co O
1 2 1 8
Cartesian
0.000 0.000 0.000
2.323 1.800 2.505
2.323 5.187 2.505
0.000 3.494 0.000
0.988 1.959 1.080
0.988 5.028 1.080
1.355 3.494 3.415
1.426 0.000 3.353
3.221 0.000 1.657
3.291 3.494 1.595
3.658 1.959 3.930
3.658 5.028 3.930